[1]
Computed, not measured: NaMgIn2Co after structural relaxation at the PBE level of DFT.

```
5
Lattice="4.960 0.000 0.000 0.000 4.960 0.000 0.000 0.000 4.909" Properties=species:S:1:pos:R:3 pbc="T T T"
Na 0.000 0.000 0.000
Mg 2.480 2.480 0.000
In 0.000 2.480 2.455
In 2.480 0.000 2.455
Co 2.480 2.480 2.455
```

Output
Volume: 121 Å³/cell
DFT formation energy: -19 meV/atom
Energy: -3.118 eV per atom

[2]
Computed, not measured: K2CdAu after structural relaxation at the PBE level of DFT.

```
4
Lattice="-2.141 3.074 6.701 2.141 -3.074 6.701 2.141 3.074 -6.701" Properties=species:S:1:pos:R:3 pbc="T T T"
K 0.000 0.000 2.997
K 0.000 0.000 10.405
Cd 0.000 0.000 6.701
Au 0.000 0.000 0.000
```

Output
Volume: 176 Å³/cell
DFT formation energy: 247 meV/atom
Energy: -1.349 eV per atom